The following is a DFT calculation (PBE) of a relaxed structure of TeRhW2.

Computed properties:
The value obtained for the uncorrected formation energy is 387 meV per atom. Its calculated volume is 72.32 Å³/cell. The value obtained for the density of states at the Fermi level is 0.48 states/eV/atom. For the total magnetic moment, the calculation gives 0.0 μB per cell. Its symmetry is R3m, No. 160.

a = 8.654 Å, b = 8.654 Å, c = 8.654 Å
α = 20.92°, β = 20.92°, γ = 20.92°
Element x y z (fractional)
Te1 0.250 0.250 0.250
Rh1 0.494 0.494 0.494
W1 0.008 0.008 0.008
W2 0.749 0.749 0.749